Record 1
A plane-wave DFT calculation with PBE-GGA was carried out for an optimized crystal structure of TbSm2InN.

D(E_F)	2.5	states/eV/cell
formation energy without anion corrections	-936.3	meV per atom
crystal system	tetragonal

Lattice parameters (Å, degrees): 4.960 4.960 4.854 90.00 90.00 90.00
Positions (direct):
Tb: 0.000 0.000 0.000
Sm: 0.000 0.500 0.500
Sm: 0.500 0.000 0.500
In: 0.500 0.500 0.000
N: 0.000 0.000 0.500



Record 2
A plane-wave DFT calculation with PBE-GGA was carried out for an optimized crystal structure of Li2SiMo.

D(E_F)	6.8	states/eV/cell
formation energy without anion corrections	458.5	meV per atom
crystal system	tetragonal

Lattice parameters (Å, degrees): 5.456 5.456 5.456 101.67 101.67 126.55
Positions (direct):
Li: 0.101 0.625 0.976
Li: 0.375 0.351 0.476
Li: 0.649 0.125 0.024
Li: 0.875 0.899 0.524
Si: 0.000 0.000 0.000
Si: 0.750 0.250 0.500
Mo: 0.250 0.750 0.500
Mo: 0.500 0.500 0.000



Record 3
A plane-wave DFT calculation with PBE-GGA was carried out for an optimized crystal structure of KSb6Se8.

D(E_F)	5.0	states/eV/cell
formation energy without anion corrections	-213.0	meV per atom
crystal system	trigonal

Lattice parameters (Å, degrees): 7.959 7.959 7.959 82.60 82.60 82.60
Positions (direct):
K: 0.000 0.000 0.000
Sb: 0.215 0.379 0.613
Sb: 0.379 0.613 0.215
Sb: 0.387 0.785 0.621
Sb: 0.613 0.215 0.379
Sb: 0.621 0.387 0.785
Sb: 0.785 0.621 0.387
Se: 0.099 0.758 0.383
Se: 0.242 0.617 0.901
Se: 0.286 0.286 0.286
Se: 0.383 0.099 0.758
Se: 0.617 0.901 0.242
Se: 0.714 0.714 0.714
Se: 0.758 0.383 0.099
Se: 0.901 0.242 0.617



Record 4
A plane-wave DFT calculation with PBE-GGA was carried out for an optimized crystal structure of TlMoAu.

D(E_F)	3.2	states/eV/cell
formation energy from the elements	2.6	eV per formula unit
crystal system	cubic
distance to the lowest polymorph of the same formula	340	meV per atom

Lattice parameters (Å, degrees): 4.599 4.599 4.599 60.00 60.00 60.00
Positions (direct):
Tl: 0.000 0.000 0.000
Mo: 0.250 0.250 0.250
Au: 0.500 0.500 0.500



Record 5
A plane-wave DFT calculation with PBE-GGA was carried out for an optimized crystal structure of AgPbAu2.

D(E_F)	0.6	states/eV/cell
formation energy from the elements	0.1	eV per formula unit
crystal system	cubic

Lattice parameters (Å, degrees): 4.906 4.906 4.906 60.00 60.00 60.00
Positions (direct):
Ag: 0.000 0.000 0.000
Pb: 0.250 0.250 0.250
Au: 0.500 0.500 0.500
Au: 0.750 0.750 0.750



Record 6
A plane-wave DFT calculation with PBE-GGA was carried out for an optimized crystal structure of SrCaSc2.

D(E_F)	8.0	states/eV/cell
formation energy from the elements	1.4	eV per formula unit
crystal system	orthorhombic
distance to the lowest polymorph of the same formula	177	meV per atom

Lattice parameters (Å, degrees): 6.768 6.768 6.768 145.85 129.95 61.99
Positions (direct):
Sr: 0.000 0.000 0.000
Ca: 0.500 0.500 0.000
Sc: 0.259 0.759 0.500
Sc: 0.741 0.241 0.500



Record 7
A plane-wave DFT calculation with PBE-GGA was carried out for an optimized crystal structure of PmTmPtRh.

D(E_F)	2.2	states/eV/cell
formation energy from the elements	-4.1	eV per formula unit
crystal system	orthorhombic
distance to the lowest polymorph of the same formula	0	meV per atom

Lattice parameters (Å, degrees): 4.382 5.637 5.637 39.52 90.00 90.00
Positions (direct):
Pm: 0.000 0.000 0.000
Tm: 0.500 0.282 0.282
Pt: 0.500 0.562 0.562
Rh: 0.000 0.736 0.736



Record 8
A plane-wave DFT calculation with PBE-GGA was carried out for an optimized crystal structure of Nd4CdIn2Au.

D(E_F)	9.8	states/eV/cell
formation energy from the elements	-4.0	eV per formula unit
crystal system	trigonal

Lattice parameters (Å, degrees): 9.398 9.398 9.398 33.65 33.65 33.65
Positions (direct):
Nd: 0.120 0.120 0.120
Nd: 0.370 0.370 0.370
Nd: 0.630 0.630 0.630
Nd: 0.880 0.880 0.880
Cd: 0.500 0.500 0.500
In: 0.245 0.245 0.245
In: 0.755 0.755 0.755
Au: 0.000 0.000 0.000



Record 9
A plane-wave DFT calculation with PBE-GGA was carried out for an optimized crystal structure of Pa2Ga5Rh3.

D(E_F)	15.8	states/eV/cell
formation energy from the elements	-6.0	eV per formula unit
crystal system	orthorhombic
distance to the lowest polymorph of the same formula	75	meV per atom

Lattice parameters (Å, degrees): 8.424 8.424 8.424 98.02 95.51 139.85
Positions (direct):
Pa: 0.249 0.125 0.374
Pa: 0.251 0.625 0.876
Pa: 0.749 0.375 0.124
Pa: 0.751 0.875 0.626
Ga: 0.132 0.881 0.013
Ga: 0.250 0.504 0.254
Ga: 0.250 0.750 0.500
Ga: 0.250 0.996 0.746
Ga: 0.368 0.381 0.749
Ga: 0.632 0.619 0.251
Ga: 0.750 0.004 0.254
Ga: 0.750 0.250 0.500
Ga: 0.750 0.496 0.746
Ga: 0.868 0.119 0.987
Rh: 0.154 0.372 0.526
Rh: 0.250 0.250 0.000
Rh: 0.346 0.872 0.218
Rh: 0.654 0.128 0.782
Rh: 0.750 0.750 0.000
Rh: 0.846 0.628 0.474



Record 10
A plane-wave DFT calculation with PBE-GGA was carried out for an optimized crystal structure of Ta2MnTc.

D(E_F)	2.7	states/eV/cell
formation energy from the elements	-0.7	eV per formula unit
crystal system	orthorhombic

Lattice parameters (Å, degrees): 5.255 5.255 5.255 145.22 130.94 61.54
Positions (direct):
Ta: 0.000 0.000 0.000
Ta: 0.740 0.240 0.500
Mn: 0.499 0.499 0.000
Tc: 0.246 0.746 0.500



Record 11
A plane-wave DFT calculation with PBE-GGA was carried out for an optimized crystal structure of AgH.

crystal system	hexagonal
distance to the lowest polymorph of the same formula	0	meV per atom

Lattice parameters (Å, degrees): 3.206 3.206 5.174 90.00 90.00 120.00
Positions (direct):
Ag: 0.333 0.667 0.000
Ag: 0.667 0.333 0.500
H: 0.333 0.667 0.621
H: 0.667 0.333 0.121



Record 12
A plane-wave DFT calculation with PBE-GGA was carried out for an optimized crystal structure of PmHoAsO2.

D(E_F)	2.2	states/eV/cell
formation energy without anion corrections	-2642.4	meV per atom
crystal system	tetragonal

Lattice parameters (Å, degrees): 7.048 7.048 7.048 148.41 148.41 45.28
Positions (direct):
Pm: 0.000 0.000 0.000
Ho: 0.319 0.319 0.000
As: 0.660 0.660 0.000
O: 0.403 0.903 0.500
O: 0.903 0.403 0.500



no.,calculated total energy (eV per atom)
1,-5.9627
2,-4.5619
3,-3.7935
4,-4.6197
5,-3.2471
6,-3.7453
7,-6.6722
8,-4.0877
9,-6.2160
10,-10.9808
11,-2.9004
12,-7.4212